# CaLa4Hg PBE optimized geometry
data_CaLa4Hg
_symmetry_space_group_name_H-M 'F -4 3 m'
_symmetry_Int_Tables_number 216
_symmetry_space_group_name_Hall 'F -4 2 3'
_cell_length_a 9.483
_cell_length_b 9.483
_cell_length_c 9.483
_cell_angle_alpha 90.00
_cell_angle_beta 90.00
_cell_angle_gamma 90.00
loop_
_atom_site_label
_atom_site_fract_x
_atom_site_fract_y
_atom_site_fract_z
Ca1 0.000 0.000 0.000
La1 0.122 0.122 0.378
Hg1 0.250 0.250 0.750
# Crystal system = cubic
# ΔE_f = 191 meV per atom
# Calculated total energy = -3.478 eV per atom

# Ca2LaHg PBE optimized geometry
data_Ca2LaHg
_symmetry_space_group_name_H-M 'C 1 2/m 1'
_symmetry_Int_Tables_number 12
_cell_length_a 7.020
_cell_length_b 12.005
_cell_length_c 3.652
_cell_angle_alpha 90.00
_cell_angle_beta 118.37
_cell_angle_gamma 90.00
loop_
_symmetry_equiv_pos_as_xyz
'x,y,z'
'-x,-y,-z'
'-x,y,-z'
'x,-y,z'
'x+1/2,y+1/2,z'
'-x+1/2,-y+1/2,-z'
'-x+1/2,y+1/2,-z'
'x+1/2,-y+1/2,z'
loop_
_atom_site_label
_atom_site_fract_x
_atom_site_fract_y
_atom_site_fract_z
Ca1 0.250 0.250 0.000
La1 0.000 0.000 0.500
Hg1 0.000 0.500 0.500
# Crystal system = monoclinic
# ΔE_f = -62 meV per atom
# Calculated total energy = -2.370 eV per atom

# CaLa5Hg4 PBE optimized geometry
data_CaLa5Hg4
_symmetry_space_group_name_H-M 'P 4/m m m'
_symmetry_Int_Tables_number 123
_symmetry_space_group_name_Hall '-P 4 2'
_cell_length_a 3.968
_cell_length_b 3.968
_cell_length_c 20.178
_cell_angle_alpha 90.00
_cell_angle_beta 90.00
_cell_angle_gamma 90.00
loop_
_atom_site_label
_atom_site_fract_x
_atom_site_fract_y
_atom_site_fract_z
Ca1 0.000 0.000 0.000
La1 0.500 0.500 0.127
La2 0.500 0.500 0.311
La3 0.500 0.500 0.500
Hg1 0.000 0.000 0.212
Hg2 0.000 0.000 0.405
# Crystal system = tetragonal
# ΔE_f = -381 meV per atom
# Calculated total energy = -3.166 eV per atom

# Ca2La2Hg PBE optimized geometry
data_Ca2La2Hg
_symmetry_space_group_name_H-M 'P 4/m b m'
_symmetry_Int_Tables_number 127
_symmetry_space_group_name_Hall '-P 4 2ab'
_cell_length_a 8.041
_cell_length_b 8.041
_cell_length_c 5.849
_cell_angle_alpha 90.00
_cell_angle_beta 90.00
_cell_angle_gamma 90.00
loop_
_atom_site_label
_atom_site_fract_x
_atom_site_fract_y
_atom_site_fract_z
Ca1 0.168 0.332 0.000
La1 0.131 0.631 0.500
Hg1 0.000 0.000 0.500
# Crystal system = tetragonal
# Energy above the lowest structure with this stoichiometry = 0.0 meV per atom
# ΔE_f = 22 meV per atom
# Calculated total energy = -2.810 eV per atom

# Ca4La5Hg4 PBE optimized geometry
data_Ca4La5Hg4
_symmetry_space_group_name_H-M 'I 4/m'
_symmetry_Int_Tables_number 87
_symmetry_space_group_name_Hall '-I 4'
_cell_length_a 12.606
_cell_length_b 12.606
_cell_length_c 5.337
_cell_angle_alpha 90.00
_cell_angle_beta 90.00
_cell_angle_gamma 90.00
loop_
_atom_site_label
_atom_site_fract_x
_atom_site_fract_y
_atom_site_fract_z
Ca1 0.106 0.386 0.000
La1 0.000 0.000 0.000
La2 0.113 0.183 0.500
Hg1 0.098 0.759 0.000
# Crystal system = tetragonal
# ΔE_f = -327 meV per atom
# Calculated total energy = -2.931 eV per atom

# Ca2LaHg PBE optimized geometry
data_Ca2LaHg
_symmetry_space_group_name_H-M 'P 4/m m m'
_symmetry_Int_Tables_number 123
_symmetry_space_group_name_Hall '-P 4 2'
_cell_length_a 4.909
_cell_length_b 4.909
_cell_length_c 5.413
_cell_angle_alpha 90.00
_cell_angle_beta 90.00
_cell_angle_gamma 90.00
loop_
_atom_site_label
_atom_site_fract_x
_atom_site_fract_y
_atom_site_fract_z
Ca1 0.000 0.500 0.000
La1 0.000 0.000 0.500
Hg1 0.500 0.500 0.500
# Crystal system = tetragonal
# ΔE_f = -155 meV per atom
# Calculated total energy = -2.463 eV per atom

# Ca2LaHg3 PBE optimized geometry
data_Ca2LaHg3
_symmetry_space_group_name_H-M 'C m m m'
_symmetry_Int_Tables_number 65
_symmetry_space_group_name_Hall '-C 2 2'
_cell_length_a 5.459
_cell_length_b 16.268
_cell_length_c 3.825
_cell_angle_alpha 90.00
_cell_angle_beta 90.00
_cell_angle_gamma 90.00
loop_
_atom_site_label
_atom_site_fract_x
_atom_site_fract_y
_atom_site_fract_z
Ca1 0.000 0.168 0.000
La1 0.000 0.500 0.000
Hg1 0.000 0.000 0.500
Hg2 0.000 0.332 0.500
# Crystal system = orthorhombic
# ΔE_f = -544 meV per atom
# Calculated total energy = -2.184 eV per atom

# CaLaHg6 PBE optimized geometry
data_CaLaHg6
_symmetry_space_group_name_H-M 'A m m 2'
_symmetry_Int_Tables_number 38
_cell_length_a 5.201
_cell_length_b 6.807
_cell_length_c 11.788
_cell_angle_alpha 90.00
_cell_angle_beta 90.00
_cell_angle_gamma 90.00
loop_
_symmetry_equiv_pos_as_xyz
'x,y,z'
'-x,-y,z'
'-x,y,z'
'x,-y,z'
'x,y+1/2,z+1/2'
'-x,-y+1/2,z+1/2'
'-x,y+1/2,z+1/2'
'x,-y+1/2,z+1/2'
loop_
_atom_site_label
_atom_site_fract_x
_atom_site_fract_y
_atom_site_fract_z
Ca1 0.000 0.000 0.000
La1 0.500 0.000 0.668
Hg1 0.000 0.000 0.497
Hg2 0.000 0.243 0.253
Hg3 0.500 0.000 0.171
Hg4 0.500 0.242 0.415
# Crystal system = orthorhombic
# Energy above the lowest structure with this stoichiometry = 0.0 meV per atom
# ΔE_f = -421 meV per atom
# Calculated total energy = -1.514 eV per atom

# Ca3La2Hg3 PBE optimized geometry
data_Ca3La2Hg3
_symmetry_space_group_name_H-M 'I m m m'
_symmetry_Int_Tables_number 71
_symmetry_space_group_name_Hall '-I 2 2'
_cell_length_a 3.793
_cell_length_b 5.493
_cell_length_c 23.314
_cell_angle_alpha 90.00
_cell_angle_beta 90.00
_cell_angle_gamma 90.00
loop_
_atom_site_label
_atom_site_fract_x
_atom_site_fract_y
_atom_site_fract_z
Ca1 0.000 0.000 0.000
Ca2 0.000 0.500 0.115
La1 0.000 0.000 0.230
Hg1 0.000 0.000 0.500
Hg2 0.000 0.500 0.383
# Crystal system = orthorhombic
# ΔE_f = -390 meV per atom
# Calculated total energy = -2.485 eV per atom

# Ca2LaHg PBE optimized geometry
data_Ca2LaHg
_symmetry_space_group_name_H-M 'C m m m'
_symmetry_Int_Tables_number 65
_symmetry_space_group_name_Hall '-C 2 2'
_cell_length_a 7.101
_cell_length_b 9.775
_cell_length_c 3.832
_cell_angle_alpha 90.00
_cell_angle_beta 90.00
_cell_angle_gamma 90.00
loop_
_atom_site_label
_atom_site_fract_x
_atom_site_fract_y
_atom_site_fract_z
Ca1 0.250 0.250 0.000
La1 0.000 0.000 0.500
Hg1 0.000 0.500 0.500
# Crystal system = orthorhombic
# ΔE_f = -81 meV per atom
# Calculated total energy = -2.390 eV per atom

# Ca5LaHg6 PBE optimized geometry
data_Ca5LaHg6
_symmetry_space_group_name_H-M 'P 1 2/m 1'
_symmetry_Int_Tables_number 10
_cell_length_a 5.403
_cell_length_b 7.633
_cell_length_c 8.508
_cell_angle_alpha 90.00
_cell_angle_beta 108.45
_cell_angle_gamma 90.00
loop_
_symmetry_equiv_pos_as_xyz
'x,y,z'
'-x,-y,-z'
'-x,y,-z'
'x,-y,z'
loop_
_atom_site_label
_atom_site_fract_x
_atom_site_fract_y
_atom_site_fract_z
Ca1 0.000 0.000 0.000
Ca2 0.331 0.500 0.662
Ca3 0.334 0.000 0.669
La1 0.000 0.500 0.000
Hg1 0.169 0.248 0.335
Hg2 0.500 0.250 0.000
# Crystal system = monoclinic
# ΔE_f = -555 meV per atom
# Calculated total energy = -1.951 eV per atom

# Ca2LaHg PBE optimized geometry
data_Ca2LaHg
_symmetry_space_group_name_H-M 'I m m 2'
_symmetry_Int_Tables_number 44
_cell_length_a 3.894
_cell_length_b 5.761
_cell_length_c 12.207
_cell_angle_alpha 90.00
_cell_angle_beta 90.00
_cell_angle_gamma 90.00
loop_
_symmetry_equiv_pos_as_xyz
'x,y,z'
'-x,-y,z'
'-x,y,z'
'x,-y,z'
'x+1/2,y+1/2,z+1/2'
'-x+1/2,-y+1/2,z+1/2'
'-x+1/2,y+1/2,z+1/2'
'x+1/2,-y+1/2,z+1/2'
loop_
_atom_site_label
_atom_site_fract_x
_atom_site_fract_y
_atom_site_fract_z
Ca1 0.000 0.000 0.000
Ca2 0.000 0.500 0.209
La1 0.000 0.000 0.414
Hg1 0.000 0.500 0.703
# Crystal system = orthorhombic
# ΔE_f = -197 meV per atom
# Calculated total energy = -2.505 eV per atom

# Ca2LaHg PBE optimized geometry
data_Ca2LaHg
_symmetry_space_group_name_H-M 'F 2 2 2'
_symmetry_Int_Tables_number 22
_symmetry_space_group_name_Hall 'F 2 2'
_cell_length_a 7.988
_cell_length_b 8.025
_cell_length_c 8.058
_cell_angle_alpha 90.00
_cell_angle_beta 90.00
_cell_angle_gamma 90.00
loop_
_atom_site_label
_atom_site_fract_x
_atom_site_fract_y
_atom_site_fract_z
Ca1 0.000 0.000 0.000
Ca2 0.250 0.250 0.250
La1 0.250 0.250 0.750
Hg1 0.000 0.000 0.500
# Crystal system = orthorhombic
# ΔE_f = -127 meV per atom
# Calculated total energy = -2.435 eV per atom